Here is a geometry-optimized KZnAsH2 structure from the Alexandria database. Energies are from PBE.

POSCAR file:
```
KZnAsH2
1.0
4.1751 0.0000 0.0000
0.0000 4.1751 0.0000
0.0000 0.0000 6.3522
K Zn As H
1 1 1 2
direct
0.0000 0.0000 0.0000
0.5000 0.5000 0.0000
0.0000 0.0000 0.5000
0.0000 0.5000 0.5000
0.5000 0.0000 0.5000
```

Computed properties:
E_tot in eV per atom: -2.1766
Calculated density in g/cm³: 2.72
Crystal system: tetragonal

Here is a geometry-optimized LaAsH3 structure from the Alexandria database. Energies are from PBE.

POSCAR file:
```
LaAsH3
1.0
3.9293 0.0000 0.0000
0.0000 3.9293 0.0000
0.0000 0.0000 3.9293
La As H
1 1 3
direct
0.0000 0.0000 0.0000
0.5000 0.5000 0.5000
0.0000 0.5000 0.5000
0.5000 0.0000 0.5000
0.5000 0.5000 0.0000
```

Computed properties:
E_tot in eV per atom: -3.8697
Calculated density in g/cm³: 5.94
Crystal system: cubic

Here is a geometry-optimized La3As2H2 structure from the Alexandria database. Energies are from PBE.

POSCAR file:
```
La3As2H2
1.0
6.6923 0.0000 0.0000
0.0000 7.3173 0.0000
-3.5243 0.0000 6.5491
La As H
6 4 4
direct
0.0000 0.0000 0.0000
0.0000 0.5000 0.5000
0.3662 0.0713 0.7164
0.3662 0.4287 0.2164
0.6338 0.5713 0.7836
0.6338 0.9287 0.2836
0.2454 0.7119 0.8919
0.2454 0.7881 0.3919
0.7546 0.2119 0.6081
0.7546 0.2881 0.1081
0.3425 0.1336 0.0559
0.3425 0.3664 0.5559
0.6575 0.6336 0.4441
0.6575 0.8664 0.9441
```

Computed properties:
E_tot in eV per atom: -5.3757
Calculated density in g/cm³: 5.89
Crystal system: monoclinic

Here is a geometry-optimized La2As2H structure from the Alexandria database. Energies are from PBE.

POSCAR file:
```
La2As2H
1.0
8.1042 0.0000 0.0000
0.0000 8.1042 0.0000
0.0000 0.0000 3.9294
La As H
4 4 2
direct
0.1567 0.3433 0.0000
0.3433 0.8433 0.0000
0.6567 0.1567 0.0000
0.8433 0.6567 0.0000
0.1503 0.6503 0.5000
0.3497 0.1503 0.5000
0.6503 0.8497 0.5000
0.8497 0.3497 0.5000
0.0000 0.0000 0.5000
0.5000 0.5000 0.5000
```

Computed properties:
E_tot in eV per atom: -5.1546
Calculated density in g/cm³: 5.52
Crystal system: tetragonal

Here is a geometry-optimized La6As5H structure from the Alexandria database. Energies are from PBE.

POSCAR file:
```
La6As5H
1.0
3.7431 -6.4781 0.0000
3.7431 6.4781 0.0000
-2.4984 0.0000 7.0663
La As H
6 5 1
direct
0.0778 0.4161 0.7480
0.2459 0.2459 0.2549
0.4161 0.0778 0.7480
0.5839 0.9222 0.2520
0.7541 0.7541 0.7451
0.9222 0.5839 0.2520
0.0000 0.0000 0.5000
0.1666 0.8334 0.0000
0.3328 0.6672 0.5000
0.6672 0.3328 0.5000
0.8334 0.1666 0.0000
0.5000 0.5000 0.0000
```

Computed properties:
E_tot in eV per atom: -6.0516
Calculated density in g/cm³: 5.86
Crystal system: monoclinic

Here is a geometry-optimized LaAsH structure from the Alexandria database. Energies are from PBE.

POSCAR file:
```
LaAsH
1.0
2.9819 -3.0894 0.0000
2.9819 3.0894 0.0000
-2.0251 0.0000 6.5284
La As H
2 2 2
direct
0.1207 0.8793 0.5000
0.8793 0.1207 0.0000
0.4633 0.6436 0.1468
0.6436 0.4633 0.6468
0.0188 0.3155 0.3487
0.3155 0.0188 0.8487
```

Computed properties:
E_tot in eV per atom: -5.0354
Calculated density in g/cm³: 5.93
Crystal system: monoclinic

Here is a geometry-optimized LaAsH structure from the Alexandria database. Energies are from PBE.

POSCAR file:
```
LaAsH
1.0
4.2790 0.0000 0.0000
2.1301 5.3734 0.0000
2.1380 1.6189 5.5269
La As H
2 2 2
direct
0.2224 0.3076 0.2469
0.7776 0.6924 0.7531
0.4766 0.7073 0.3410
0.5234 0.2927 0.6590
0.1923 0.6866 0.9300
0.8077 0.3134 0.0700
```

Computed properties:
E_tot in eV per atom: -5.2078
Calculated density in g/cm³: 5.61
Crystal system: triclinic

Here is a geometry-optimized LaAsH structure from the Alexandria database. Energies are from PBE.

POSCAR file:
```
LaAsH
1.0
4.2092 0.0000 0.0000
0.0000 4.4935 0.0000
-2.1089 0.0000 5.8528
La As H
2 2 2
direct
0.1463 0.2500 0.2928
0.8537 0.7500 0.7072
0.4395 0.2500 0.8769
0.5605 0.7500 0.1231
0.2490 0.7500 0.4980
0.7510 0.2500 0.5020
```

Computed properties:
E_tot in eV per atom: -5.2259
Calculated density in g/cm³: 6.45
Crystal system: monoclinic

Here is a geometry-optimized La3AsH3 structure from the Alexandria database. Energies are from PBE.

POSCAR file:
```
La3AsH3
1.0
3.5754 2.0643 6.8107
-3.5754 2.0643 6.8107
0.0000 -4.1285 6.8107
La As H
6 2 6
direct
0.0888 0.7576 0.4248
0.2424 0.5752 0.9112
0.4248 0.0888 0.7576
0.5752 0.9112 0.2424
0.7576 0.4248 0.0888
0.9112 0.2424 0.5752
0.3338 0.3338 0.3338
0.6662 0.6662 0.6662
0.1283 0.4591 0.7859
0.2141 0.8717 0.5409
0.4591 0.7859 0.1283
0.5409 0.2141 0.8717
0.7859 0.1283 0.4591
0.8717 0.5409 0.2141
```

Computed properties:
E_tot in eV per atom: -5.0318
Calculated density in g/cm³: 5.45
Crystal system: trigonal

Here is a geometry-optimized La2AsH2 structure from the Alexandria database. Energies are from PBE.

POSCAR file:
```
La2AsH2
1.0
0.0000 4.9600 5.1960
3.9253 0.0000 5.1960
3.9253 4.9600 0.0000
La As H
4 2 4
direct
0.0910 0.0910 0.6590
0.3410 0.3410 0.9090
0.6590 0.6590 0.0910
0.9090 0.9090 0.3410
0.3750 0.3750 0.3750
0.6250 0.6250 0.6250
0.0066 0.2434 0.0066
0.2434 0.0066 0.2434
0.7566 0.9934 0.7566
0.9934 0.7566 0.9934
```

Computed properties:
E_tot in eV per atom: -5.1180
Calculated density in g/cm³: 5.82
Crystal system: orthorhombic

Here is a geometry-optimized LaAsH3 structure from the Alexandria database. Energies are from PBE.

POSCAR file:
```
LaAsH3
1.0
4.3001 0.0000 0.0000
0.0000 4.3001 0.0000
0.0000 0.0000 4.3001
La As H
1 1 3
direct
0.0000 0.0000 0.0000
0.5000 0.5000 0.5000
0.0000 0.0000 0.5000
0.0000 0.5000 0.0000
0.5000 0.0000 0.0000
```

Computed properties:
E_tot in eV per atom: -3.6795
Calculated density in g/cm³: 4.53
Crystal system: cubic

Here is a geometry-optimized La2As2H structure from the Alexandria database. Energies are from PBE.

POSCAR file:
```
La2As2H
1.0
7.5245 0.0000 0.0000
0.0000 7.5245 0.0000
0.0000 0.0000 4.2940
La As H
4 4 2
direct
0.1859 0.3141 0.0000
0.3141 0.8141 0.0000
0.6859 0.1859 0.0000
0.8141 0.6859 0.0000
0.1172 0.6172 0.5000
0.3828 0.1172 0.5000
0.6172 0.8828 0.5000
0.8828 0.3828 0.5000
0.0000 0.0000 0.0000
0.5000 0.5000 0.0000
```

Computed properties:
E_tot in eV per atom: -5.5173
Calculated density in g/cm³: 5.86
Crystal system: tetragonal

What is the E_tot in the second record? -3.8697 eV per atom

What is the calculated density in the seventh record? 5.61 g/cm³

Among the records above, which one has the lowest calculated density? KZnAsH2

The highest E_tot belongs to which entry? KZnAsH2